No. 1
Crystalline ZrAl2Ni9 at its relaxed geometry. Source: Alexandria, functional GGA-PBE.

It has space group R-3m (No. 166, hexagonal axes), with a = 4.7412 Å, b = 4.7412 Å, c = 23.0890 Å, α = 90.00°, β = 90.00° and γ = 120.00°. The distinct sites, in fractional coordinates, are Zr at (0.0000, 0.0000, 0.0000), Al at (0.0000, 0.0000, 0.1425), Ni at (0.0000, 0.0000, 0.3341), Ni at (0.0000, 0.0000, 0.5000) and Ni at (0.0056, 0.5028, 0.9134).

As for the crystal system: trigonal. The energy relative to the lowest polymorph listed for this composition comes out at 2.88 kcal/mol of atoms. As for the formation energy: -0.309 eV/atom.



No. 2
Crystalline Mg4TcH6 at its relaxed geometry. Source: Alexandria, functional GGA-PBE.

It has space group R-3c (No. 167, hexagonal axes), with a = 8.2470 Å, b = 8.2470 Å, c = 11.9880 Å, α = 90.00°, β = 90.00° and γ = 120.00°. The distinct sites, in fractional coordinates, are Mg at (0.0000, 0.0000, 0.2500), Mg at (0.0000, 0.3811, 0.2500), Tc at (0.0000, 0.0000, 0.0000) and H at (0.0503, 0.2070, 0.4219).

As for the crystal system: trigonal.



No. 3
Crystalline BaMn2Rh at its relaxed geometry. Source: Alexandria, functional GGA-PBE.

It has space group I-4m2 (No. 119), with a = 4.593 Å, b = 4.593 Å, c = 8.021 Å, α = 90.00°, β = 90.00° and γ = 90.00°. The distinct sites, in fractional coordinates, are Ba at (0.000, 0.000, 0.000), Mn at (0.000, 0.000, 0.500), Mn at (0.000, 0.500, 0.750) and Rh at (0.000, 0.500, 0.250).

As for the crystal system: tetragonal. As for the formation energy: 0.692 eV/atom.



No. 4
Crystalline PHPdN at its relaxed geometry. Source: Alexandria, functional GGA-PBE.

It has space group Cm (No. 8), with a = 8.126 Å, b = 3.626 Å, c = 4.080 Å, α = 90.00°, β = 117.92° and γ = 90.00°. The distinct sites, in fractional coordinates, are P at (0.000, 0.000, 0.000), H at (0.498, 0.500, 0.639), Pd at (0.201, 0.500, 0.286) and N at (0.278, 0.500, 0.863).

As for the crystal system: monoclinic. The energy relative to the lowest polymorph listed for this composition comes out at 7.43 kcal/mol of atoms.



No. 5
Crystalline NdTmMg2 at its relaxed geometry. Source: Alexandria, functional GGA-PBE.

It has space group Fm-3m (No. 225), with a = 7.633 Å, b = 7.633 Å, c = 7.633 Å, α = 90.00°, β = 90.00° and γ = 90.00°. The distinct sites, in fractional coordinates, are Nd at (0.000, 0.000, 0.000), Tm at (0.000, 0.000, 0.500) and Mg at (0.250, 0.250, 0.250).

As for the crystal system: cubic. The energy relative to the lowest polymorph listed for this composition comes out at 0.00 kcal/mol of atoms. As for the formation energy: -0.090 eV/atom.



No. 6
Crystalline Pr2InBr at its relaxed geometry. Source: Alexandria, functional GGA-PBE.

It has space group R3m (No. 160, hexagonal axes), with a = 3.8785 Å, b = 3.8785 Å, c = 28.0083 Å, α = 90.00°, β = 90.00° and γ = 120.00°. The distinct sites, in fractional coordinates, are Pr at (0.0000, 0.0000, 0.0000), Pr at (0.0000, 0.0000, 0.1653), In at (0.0000, 0.0000, 0.5824) and Br at (0.0000, 0.0000, 0.4156).

As for the crystal system: trigonal. Its formation energy from raw total energies is -794 meV/atom. The energy relative to the lowest polymorph listed for this composition comes out at 0.52 kcal/mol of atoms.



No. 7
Crystalline Mn2PdCl6 at its relaxed geometry. Source: Alexandria, functional GGA-PBE.

It has space group C2/c (No. 15), with a = 13.349 Å, b = 11.677 Å, c = 6.881 Å, α = 90.00°, β = 111.36° and γ = 90.00°. The distinct sites, in fractional coordinates, are Mn at (0.202, 0.090, 0.103), Pd at (0.000, 0.254, 0.750), Cl at (0.103, 0.247, 0.129), Cl at (0.121, 0.404, 0.693) and Cl at (0.137, 0.077, 0.724).

As for the crystal system: monoclinic. Its formation energy from raw total energies is -770 meV/atom.



No. 8
Crystalline BiSb at its relaxed geometry. Source: Alexandria, functional GGA-PBE.

It has space group I4/m (No. 87), with a = 11.681 Å, b = 11.681 Å, c = 4.303 Å, α = 90.00°, β = 90.00° and γ = 90.00°. The distinct sites, in fractional coordinates, are Bi at (0.139, 0.844, 0.000) and Sb at (0.087, 0.306, 0.500).

As for the crystal system: tetragonal. Its formation energy from raw total energies is 134 meV/atom. The energy relative to the lowest polymorph listed for this composition comes out at 3.25 kcal/mol of atoms.



no.,raw total energy (eV for the cell shown)
1,-215.3
2,-222.4
3,-49.7
4,-42.7
5,-51.2
6,-51.4
7,-166.2
8,-61.9